Density functional theory data (GGA-PBE) for a relaxed structure of La2Tb2Nd15.

a b c (Å): 8.9789 8.9789 8.9789
angles (deg): 79.61 79.61 79.61
Fractional coordinates of all 19 atoms:
La1 0.1768 0.1768 0.1768
La2 0.8232 0.8232 0.8232
Tb1 0.4071 0.4071 0.4071
Tb2 0.5929 0.5929 0.5929
Nd1 0.0000 0.5000 0.5000
Nd2 0.1288 0.1288 0.6516
Nd3 0.1288 0.6516 0.1288
Nd4 0.2056 0.5000 0.7944
Nd5 0.2056 0.7944 0.5000
Nd6 0.3484 0.8712 0.8712
Nd7 0.5000 0.0000 0.5000
Nd8 0.5000 0.2056 0.7944
Nd9 0.5000 0.5000 0.0000
Nd10 0.5000 0.7944 0.2056
Nd11 0.6516 0.1288 0.1288
Nd12 0.7944 0.2056 0.5000
Nd13 0.7944 0.5000 0.2056
Nd14 0.8712 0.3484 0.8712
Nd15 0.8712 0.8712 0.3484

Calculated values
Calculated formation energy ... 4.46 eV per formula unit

Density functional theory data (GGA-PBE) for a relaxed structure of YReSb2Rh.

a b c (Å): 5.5365 5.5365 4.7263
angles (deg): 90.00 90.00 90.00
Fractional coordinates of all 5 atoms:
Y1 0.0000 0.0000 0.0000
Re1 0.5000 0.5000 0.5000
Sb1 0.0000 0.5000 0.0000
Sb2 0.5000 0.0000 0.0000
Rh1 0.0000 0.0000 0.5000

Calculated values
E_form (uncorrected) ... 1.877 eV/atom
Distance to the lowest polymorph of the same formula ... 1.112 eV/atom

Density functional theory data (GGA-PBE) for a relaxed structure of Sb3PI.

a b c (Å): 5.7166 5.7166 5.7166
angles (deg): 90.00 90.00 90.00
Fractional coordinates of all 5 atoms:
Sb1 0.0000 0.0000 0.5000
Sb2 0.0000 0.5000 0.0000
Sb3 0.5000 0.0000 0.0000
P1 0.5000 0.5000 0.5000
I1 0.0000 0.0000 0.0000

Calculated values
E_form (uncorrected) ... 1.588 eV/atom
Distance to the lowest polymorph of the same formula ... 1.021 eV/atom

Density functional theory data (GGA-PBE) for a relaxed structure of ScTa2W.

a b c (Å): 3.2915 4.7014 4.7086
angles (deg): 90.00 90.00 90.00
Fractional coordinates of all 4 atoms:
Sc1 0.0000 0.0000 0.0000
Ta1 0.0000 0.5000 0.5000
Ta2 0.5000 0.5000 0.0000
W1 0.5000 0.0000 0.5000

Calculated values
Calculated formation energy ... 0.99 eV per formula unit

Density functional theory data (GGA-PBE) for a relaxed structure of Pm6TeAs3P2.

a b c (Å): 9.4641 9.4641 8.5175
angles (deg): 102.68 102.68 25.85
Fractional coordinates of all 12 atoms:
Pm1 0.0034 0.0034 0.2687
Pm2 0.3260 0.3260 0.9060
Pm3 0.3308 0.3308 0.4202
Pm4 0.6692 0.6692 0.5798
Pm5 0.6740 0.6740 0.0940
Pm6 0.9966 0.9966 0.7313
Te1 0.5000 0.5000 0.0000
As1 0.1638 0.1638 0.8329
As2 0.5000 0.5000 0.5000
As3 0.8362 0.8362 0.1671
P1 0.1676 0.1676 0.3345
P2 0.8324 0.8324 0.6655

Calculated values
E_form (uncorrected) ... -1.543 eV/atom

Density functional theory data (GGA-PBE) for a relaxed structure of Dy3Ho5P8.

a b c (Å): 7.9876 7.9876 7.9876
angles (deg): 60.00 60.00 60.00
Fractional coordinates of all 16 atoms:
Dy1 0.0000 0.5000 0.5000
Dy2 0.5000 0.0000 0.5000
Dy3 0.5000 0.5000 0.0000
Ho1 0.0000 0.0000 0.0000
Ho2 0.0000 0.0000 0.5000
Ho3 0.0000 0.5000 0.0000
Ho4 0.5000 0.0000 0.0000
Ho5 0.5000 0.5000 0.5000
P1 0.2492 0.7500 0.7500
P2 0.2496 0.2496 0.2496
P3 0.2500 0.2500 0.7508
P4 0.2500 0.7508 0.2500
P5 0.7500 0.2492 0.7500
P6 0.7500 0.7500 0.2492
P7 0.7504 0.7504 0.7504
P8 0.7508 0.2500 0.2500

Calculated values
Calculated formation energy ... -25.84 eV per formula unit

Density functional theory data (GGA-PBE) for a relaxed structure of Zn13Fe3.

a b c (Å): 5.4646 6.3904 6.3904
angles (deg): 85.78 90.00 90.00
Fractional coordinates of all 16 atoms:
Zn1 0.0000 0.0000 0.0000
Zn2 0.0000 0.4420 0.9148
Zn3 0.0000 0.5079 0.5079
Zn4 0.0000 0.9148 0.4420
Zn5 0.2536 0.1664 0.6753
Zn6 0.2535 0.2444 0.2444
Zn7 0.2536 0.6753 0.1664
Zn8 0.5000 0.4224 0.9167
Zn9 0.5000 0.5086 0.5086
Zn10 0.5000 0.9167 0.4224
Zn11 0.7464 0.1664 0.6753
Zn12 0.7465 0.2444 0.2444
Zn13 0.7464 0.6753 0.1664
Fe1 0.2680 0.7646 0.7646
Fe2 0.5000 0.9890 0.9890
Fe3 0.7320 0.7646 0.7646

Calculated values
Calculated formation energy ... 0.24 eV per formula unit

Density functional theory data (GGA-PBE) for a relaxed structure of Tb3PmHoTm.

a b c (Å): 6.4787 6.4787 11.5347
angles (deg): 90.00 90.00 127.61
Fractional coordinates of all 12 atoms:
Tb1 0.1339 0.8661 0.7500
Tb2 0.3255 0.6745 0.5332
Tb3 0.3255 0.6745 0.9668
Tb4 0.6745 0.3255 0.0332
Tb5 0.6745 0.3255 0.4668
Tb6 0.8661 0.1339 0.2500
Pm1 0.4730 0.5270 0.2500
Pm2 0.5270 0.4730 0.7500
Ho1 0.0000 0.0000 0.0000
Ho2 0.0000 0.0000 0.5000
Tm1 0.1731 0.8269 0.2500
Tm2 0.8269 0.1731 0.7500

Calculated values
Calculated formation energy ... 0.75 eV per formula unit

Density functional theory data (GGA-PBE) for a relaxed structure of Tm2Ga2Co15.

a b c (Å): 6.2918 6.2918 6.2918
angles (deg): 82.83 82.83 82.83
Fractional coordinates of all 19 atoms:
Tm1 0.1489 0.1489 0.1489
Tm2 0.8511 0.8511 0.8511
Ga1 0.3927 0.3927 0.3927
Ga2 0.6073 0.6073 0.6073
Co1 0.0000 0.5000 0.5000
Co2 0.1472 0.1472 0.6527
Co3 0.1472 0.6527 0.1472
Co4 0.2097 0.5000 0.7903
Co5 0.2097 0.7903 0.5000
Co6 0.3473 0.8528 0.8528
Co7 0.5000 0.0000 0.5000
Co8 0.5000 0.2097 0.7903
Co9 0.5000 0.5000 0.0000
Co10 0.5000 0.7903 0.2097
Co11 0.6527 0.1472 0.1472
Co12 0.7903 0.2097 0.5000
Co13 0.7903 0.5000 0.2097
Co14 0.8528 0.3473 0.8528
Co15 0.8528 0.8528 0.3473

Calculated values
Calculated formation energy ... -2.61 eV per formula unit

Density functional theory data (GGA-PBE) for a relaxed structure of Tc3IO.

a b c (Å): 4.8790 4.8790 4.8790
angles (deg): 90.00 90.00 90.00
Fractional coordinates of all 5 atoms:
Tc1 0.0000 0.0000 0.5000
Tc2 0.0000 0.5000 0.0000
Tc3 0.5000 0.0000 0.0000
I1 0.0000 0.0000 0.0000
O1 0.5000 0.5000 0.5000

Calculated values
E_form (uncorrected) ... 2.623 eV/atom
Distance to the lowest polymorph of the same formula ... 1.941 eV/atom

Density functional theory data (GGA-PBE) for a relaxed structure of Sr2TaTl.

a b c (Å): 6.2595 6.2595 3.3243
angles (deg): 90.13 90.13 116.43
Fractional coordinates of all 4 atoms:
Sr1 0.0000 0.5000 0.0000
Sr2 0.5000 0.0000 0.0000
Ta1 0.0000 0.0000 0.5000
Tl1 0.5000 0.5000 0.5000

Calculated values
Calculated formation energy ... 2.67 eV per formula unit
Distance to the lowest polymorph of the same formula ... 0.140 eV/atom

Density functional theory data (GGA-PBE) for a relaxed structure of Na3Ho3PdO8.

a b c (Å): 6.7575 6.7575 6.7575
angles (deg): 59.15 59.15 59.15
Fractional coordinates of all 15 atoms:
Na1 0.0000 0.5000 0.5000
Na2 0.5000 0.0000 0.5000
Na3 0.5000 0.5000 0.0000
Ho1 0.0000 0.0000 0.5000
Ho2 0.0000 0.5000 0.0000
Ho3 0.5000 0.0000 0.0000
Pd1 0.5000 0.5000 0.5000
O1 0.2359 0.2359 0.2359
O2 0.2592 0.7213 0.7213
O3 0.2787 0.2787 0.7408
O4 0.2787 0.7408 0.2787
O5 0.7213 0.2592 0.7213
O6 0.7213 0.7213 0.2592
O7 0.7408 0.2787 0.2787
O8 0.7641 0.7641 0.7641

Calculated values
E_form (uncorrected) ... -2.339 eV/atom

Density functional theory data (GGA-PBE) for a relaxed structure of Ba4CoRh.

a b c (Å): 6.8415 6.8415 6.8415
angles (deg): 60.00 60.00 60.00
Fractional coordinates of all 6 atoms:
Ba1 0.1254 0.1254 0.1254
Ba2 0.1254 0.1254 0.6238
Ba3 0.1254 0.6238 0.1254
Ba4 0.6238 0.1254 0.1254
Co1 0.7500 0.7500 0.7500
Rh1 0.5000 0.5000 0.5000

Calculated values
Calculated formation energy ... 7.07 eV per formula unit

Density functional theory data (GGA-PBE) for a relaxed structure of Ba2NiBi5.

a b c (Å): 7.4707 7.4707 7.4707
angles (deg): 123.04 123.04 84.81
Fractional coordinates of all 8 atoms:
Ba1 0.0000 0.5000 0.5000
Ba2 0.5000 0.0000 0.5000
Ni1 0.2016 0.2016 0.0000
Bi1 0.4657 0.4657 0.0000
Bi2 0.5038 0.5038 0.5134
Bi3 0.5038 0.9904 0.0000
Bi4 0.9904 0.5038 0.0000
Bi5 0.9904 0.9904 0.4866

Calculated values
Calculated formation energy ... -3.26 eV per formula unit

Density functional theory data (GGA-PBE) for a relaxed structure of NbPdPt.

a b c (Å): 4.8906 4.6708 4.9127
angles (deg): 90.00 119.75 90.00
Fractional coordinates of all 6 atoms:
Nb1 0.0106 0.2500 0.2100
Nb2 0.9894 0.7500 0.7900
Pd1 0.3424 0.2500 0.8567
Pd2 0.6576 0.7500 0.1433
Pt1 0.3190 0.7500 0.4731
Pt2 0.6810 0.2500 0.5269

Calculated values
Calculated formation energy ... -1.71 eV per formula unit
Distance to the lowest polymorph of the same formula ... 0.039 eV/atom

Density functional theory data (GGA-PBE) for a relaxed structure of TlRuS2.

a b c (Å): 4.6250 4.6250 4.6250
angles (deg): 60.00 60.00 60.00
Fractional coordinates of all 4 atoms:
Tl1 0.0000 0.0000 0.0000
Ru1 0.5000 0.5000 0.5000
S1 0.2500 0.2500 0.2500
S2 0.7500 0.7500 0.7500

Calculated values
E_form (uncorrected) ... 0.552 eV/atom
Distance to the lowest polymorph of the same formula ... 0.783 eV/atom

Density functional theory data (GGA-PBE) for a relaxed structure of Ca2TaAu.

a b c (Å): 10.0823 10.0823 10.0823
angles (deg): 19.26 19.26 19.26
Fractional coordinates of all 4 atoms:
Ca1 0.2458 0.2458 0.2458
Ca2 0.7542 0.7542 0.7542
Ta1 0.0000 0.0000 0.0000
Au1 0.5000 0.5000 0.5000

Calculated values
Calculated formation energy ... 1.08 eV per formula unit
Distance to the lowest polymorph of the same formula ... 0.144 eV/atom

Density functional theory data (GGA-PBE) for a relaxed structure of Cu5NiAu6.

a b c (Å): 6.1330 6.1330 4.9591
angles (deg): 97.77 97.77 88.63
Fractional coordinates of all 12 atoms:
Cu1 0.0000 0.0000 0.0000
Cu2 0.1736 0.8264 0.5000
Cu3 0.3384 0.6616 0.0000
Cu4 0.6616 0.3384 0.0000
Cu5 0.8264 0.1736 0.5000
Ni1 0.5000 0.5000 0.5000
Au1 0.0840 0.4160 0.2484
Au2 0.2476 0.2476 0.7444
Au3 0.4160 0.0840 0.2484
Au4 0.5840 0.9160 0.7516
Au5 0.7524 0.7524 0.2556
Au6 0.9160 0.5840 0.7516

Calculated values
Calculated formation energy ... 0.57 eV per formula unit
Distance to the lowest polymorph of the same formula ... 0.073 eV/atom

Density functional theory data (GGA-PBE) for a relaxed structure of Sc2MnHAu.

a b c (Å): 4.5408 4.5408 3.6433
angles (deg): 90.00 90.00 90.00
Fractional coordinates of all 5 atoms:
Sc1 0.0000 0.5000 0.0000
Sc2 0.5000 0.0000 0.0000
Mn1 0.0000 0.0000 0.5000
H1 0.0000 0.0000 0.0000
Au1 0.5000 0.5000 0.5000

Calculated values
Total DFT energy (no corrections) ... -6.10 eV per atom

Density functional theory data (GGA-PBE) for a relaxed structure of CdGa2P.

a b c (Å): 4.8310 4.8310 4.8310
angles (deg): 60.00 60.00 60.00
Fractional coordinates of all 4 atoms:
Cd1 0.0000 0.0000 0.0000
Ga1 0.2500 0.2500 0.2500
Ga2 0.7500 0.7500 0.7500
P1 0.5000 0.5000 0.5000

Calculated values
Calculated formation energy ... 1.00 eV per formula unit
Distance to the lowest polymorph of the same formula ... 0.232 eV/atom